1.
Entry from Alexandria via LeMat-Bulk: a geometry-optimized RbTlZn2Pt structure (GGA-PBE).

calculated volume: 27.2 A^3/atom
DOS(E_F): 1.73 states/eV per cell
energy relative to the elements: -184 meV/atom
SG: No. 123
total magnetization: 0.00 μB per formula unit

a b c (Å): 5.0658 5.0658 5.3040
angles (deg): 90.00 90.00 90.00
Positions (direct):
Pt: 0.0000 0.0000 0.0000
Tl: 0.0000 0.0000 0.5000
Zn: 0.5000 0.0000 0.0000
Zn: 0.0000 0.5000 0.0000
Rb: 0.5000 0.5000 0.5000



2.
Entry from Alexandria via LeMat-Bulk: a geometry-optimized KTa2H8 structure (GGA-PBE).

calculated volume: 10.7 A^3/atom
DOS(E_F): 1.20 states/eV per cell
total energy: -53.17 eV/cell
SG: No. 8
total magnetization: 0.00 μB per formula unit

a b c (Å): 5.7327 5.2406 5.2406
angles (deg): 131.54 89.98 89.98
Positions (direct):
K: 0.0561 0.0422 0.0422
H: 0.6230 0.9009 0.1840
Ta: 0.5705 0.7047 0.3801
H: 0.8805 0.3567 0.7273
H: 0.3395 0.5429 0.0427
H: 0.3395 0.0427 0.5429
Ta: 0.5705 0.3801 0.7047
H: 0.7550 0.5421 0.5421
H: 0.6230 0.1840 0.9009
H: 0.8805 0.7273 0.3567
H: 0.3622 0.5425 0.5425



3.
Entry from Alexandria via LeMat-Bulk: a geometry-optimized PmBeBrF4 structure (GGA-PBE).

uncorrected formation energy: -3.2917 eV per atom
calculated volume: 16.5 A^3/atom
DOS(E_F): 0.00 states/eV per cell
SG: No. 12
total magnetization: 0.00 μB per formula unit

a b c (Å): 6.1751 6.1751 6.6855
angles (deg): 78.01 78.01 69.92
Positions (direct):
F: 0.5116 0.8589 0.8563
Be: 0.3682 0.3682 0.2646
F: 0.4884 0.1411 0.1437
Pm: 0.7608 0.7608 0.1435
Br: 0.0242 0.0242 0.2458
F: 0.8589 0.5116 0.8563
F: 0.1411 0.4884 0.1437
Be: 0.6318 0.6318 0.7354
F: 0.5244 0.5244 0.2225
F: 0.7016 0.7016 0.5022
F: 0.4756 0.4756 0.7775
Br: 0.9758 0.9758 0.7542
F: 0.2984 0.2984 0.4978
Pm: 0.2392 0.2392 0.8565



4.
Entry from Alexandria via LeMat-Bulk: a geometry-optimized PmTm6Tl5 structure (GGA-PBE).

calculated volume: 27.4 A^3/atom
energy above the most stable polymorph in this dataset: 0.0 meV per atom
DOS(E_F): 11.53 states/eV per cell
energy relative to the elements: -243 meV/atom
SG: No. 71
total magnetization: 0.06 μB per formula unit

a b c (Å): 4.9990 8.6826 9.0796
angles (deg): 118.56 105.98 90.00
Positions (direct):
Tm: 0.8302 0.5644 0.6604
Tm: 0.8302 0.0960 0.6604
Tm: 0.5000 0.7227 0.0000
Tm: 0.1698 0.4356 0.3396
Tm: 0.5000 0.2773 0.0000
Tl: 0.0000 0.5000 0.0000
Tl: 0.6822 0.6822 0.3644
Tm: 0.1698 0.9040 0.3396
Tl: 0.3515 0.8515 0.7030
Tl: 0.6485 0.1485 0.2970
Tl: 0.3178 0.3178 0.6356
Pm: 0.0000 0.0000 0.0000



5.
Entry from Alexandria via LeMat-Bulk: a geometry-optimized KIr2Pb structure (GGA-PBE).

calculated volume: 21.3 A^3/atom
DOS(E_F): 3.27 states/eV per cell
energy relative to the elements: 867 meV/atom
SG: No. 166
total magnetization: 0.00 μB per formula unit

a b c (Å): 9.8437 9.8437 9.8437
angles (deg): 18.65 18.65 18.65
Positions (direct):
Pb: 0.7500 0.7500 0.7500
Ir: 0.0119 0.0119 0.0119
K: 0.2500 0.2500 0.2500
Ir: 0.4881 0.4881 0.4881



6.
Entry from Alexandria via LeMat-Bulk: a geometry-optimized Ca2ZrGa3Pt4 structure (GGA-PBE).

calculated volume: 19.8 A^3/atom
DOS(E_F): 4.87 states/eV per cell
energy relative to the elements: -897 meV/atom
SG: No. 115
total magnetization: 0.00 μB per formula unit

a b c (Å): 4.1676 4.1676 11.4196
angles (deg): 90.00 90.00 90.00
Positions (direct):
Ga: 0.5000 0.0000 0.8704
Zr: 0.5000 0.5000 0.5000
Ca: 0.5000 0.0000 0.2380
Ga: 0.0000 0.0000 0.5000
Ga: 0.0000 0.5000 0.1296
Pt: 0.5000 0.0000 0.6516
Pt: 0.0000 0.0000 0.0000
Pt: 0.5000 0.5000 0.0000
Ca: 0.0000 0.5000 0.7620
Pt: 0.0000 0.5000 0.3484



Number 5 is which compound? KIr2Pb



Please write out number 4 again, unchanged.
Entry from Alexandria via LeMat-Bulk: a geometry-optimized PmTm6Tl5 structure (GGA-PBE).

calculated volume: 27.4 A^3/atom
energy above the most stable polymorph in this dataset: 0.0 meV per atom
DOS(E_F): 11.53 states/eV per cell
energy relative to the elements: -243 meV/atom
SG: No. 71
total magnetization: 0.06 μB per formula unit

a b c (Å): 4.9990 8.6826 9.0796
angles (deg): 118.56 105.98 90.00
Positions (direct):
Tm: 0.8302 0.5644 0.6604
Tm: 0.8302 0.0960 0.6604
Tm: 0.5000 0.7227 0.0000
Tm: 0.1698 0.4356 0.3396
Tm: 0.5000 0.2773 0.0000
Tl: 0.0000 0.5000 0.0000
Tl: 0.6822 0.6822 0.3644
Tm: 0.1698 0.9040 0.3396
Tl: 0.3515 0.8515 0.7030
Tl: 0.6485 0.1485 0.2970
Tl: 0.3178 0.3178 0.6356
Pm: 0.0000 0.0000 0.0000



Please write out number 4 again, unchanged.
Entry from Alexandria via LeMat-Bulk: a geometry-optimized PmTm6Tl5 structure (GGA-PBE).

calculated volume: 27.4 A^3/atom
energy above the most stable polymorph in this dataset: 0.0 meV per atom
DOS(E_F): 11.53 states/eV per cell
energy relative to the elements: -243 meV/atom
SG: No. 71
total magnetization: 0.06 μB per formula unit

a b c (Å): 4.9990 8.6826 9.0796
angles (deg): 118.56 105.98 90.00
Positions (direct):
Tm: 0.8302 0.5644 0.6604
Tm: 0.8302 0.0960 0.6604
Tm: 0.5000 0.7227 0.0000
Tm: 0.1698 0.4356 0.3396
Tm: 0.5000 0.2773 0.0000
Tl: 0.0000 0.5000 0.0000
Tl: 0.6822 0.6822 0.3644
Tm: 0.1698 0.9040 0.3396
Tl: 0.3515 0.8515 0.7030
Tl: 0.6485 0.1485 0.2970
Tl: 0.3178 0.3178 0.6356
Pm: 0.0000 0.0000 0.0000